No. 1
Compound: Gd2IBr
Source: the Alexandria database
Functional: PBE-GGA
Structure: relaxed

Geometry as POSCAR:
```
Gd2IBr
1.0
3.744 0.000 0.000
1.872 3.243 0.000
1.872 1.081 9.493
I Gd Br
1 2 1
Direct
0.500 0.500 0.500 I
0.747 0.747 0.759 Gd
0.253 0.253 0.241 Gd
0.000 0.000 0.000 Br
```

Properties
ΔE_f (raw)	-0.87	eV per atom
symmetry	No. 166

=====

No. 2
Compound: TlCo2Pb
Source: the Alexandria database
Functional: PBE-GGA
Structure: relaxed

Geometry as POSCAR:
```
TlCo2Pb
1.0
-6.278 2.551 0.970
-6.723 -0.700 -1.083
-6.207 -0.887 2.749
Co Pb Tl
2 1 1
Direct
0.966 0.966 0.966 Co
0.283 0.283 0.283 Co
0.527 0.527 0.527 Pb
0.724 0.724 0.724 Tl
```

Properties
energy of formation from the pure elements	378	meV/atom
symmetry	No. 160

=====

No. 3
Compound: CaBeCoP2
Source: the Alexandria database
Functional: PBE-GGA
Structure: relaxed

Geometry as POSCAR:
```
CaBeCoP2
1.0
-3.308 0.090 1.700
-1.695 -0.527 -3.270
2.734 -5.080 1.517
Ca Be Co P
1 1 1 2
Direct
0.000 0.000 0.000 Ca
0.250 0.750 0.500 Be
0.750 0.250 0.500 Co
0.638 0.638 0.276 P
0.362 0.362 0.724 P
```

Properties
energy of formation from the pure elements	-691	meV/atom
symmetry	No. 119

=====

No. 4
Compound: Sm2MgBr
Source: the Alexandria database
Functional: PBE-GGA
Structure: relaxed

Geometry as POSCAR:
```
Sm2MgBr
1.0
3.552 0.000 0.000
0.000 3.552 0.000
0.000 0.000 8.820
Mg Br Sm
1 1 2
Direct
0.500 0.500 0.000 Mg
0.500 0.500 0.500 Br
0.000 0.000 0.754 Sm
0.000 0.000 0.246 Sm
```

Properties
ΔE_f (raw)	-0.47	eV per atom
energy relative to the lowest polymorph listed for this composition	0.0	meV per atom
symmetry	No. 123